Entry 1:
# Sr2MgCrTc | Alexandria | GGA-PBE | optimized geometry
data_Sr2MgCrTc
_chemical_formula_sum 'Sr2 Mg1 Cr1 Tc1'
_space_group_name_H-M_alt 'P 4/m m m'
_space_group_IT_number 123
_space_group_name_Hall '-P 4 2'
_cell_length_a 5.875
_cell_length_b 5.875
_cell_length_c 5.145
_cell_angle_alpha 90.00
_cell_angle_beta 90.00
_cell_angle_gamma 90.00
loop_
_atom_site_label
_atom_site_type_symbol
_atom_site_fract_x
_atom_site_fract_y
_atom_site_fract_z
_atom_site_occupancy
Sr1 Sr 0.000 0.500 0.000 1
Mg1 Mg 0.000 0.000 0.500 1
Cr1 Cr 0.000 0.000 0.000 1
Tc1 Tc 0.500 0.500 0.500 1
# Formation energy ... 1334 meV/atom
# Calculated total energy ... -3.656 eV per atom
# Total moment ... 7.77 μB/f.u.

---

Entry 2:
# Tb12PmTh7 | Alexandria | GGA-PBE | optimized geometry
data_Tb12PmTh7
_chemical_formula_sum 'Tb24 Pm2 Th14'
_space_group_name_H-M_alt 'I m -3'
_space_group_IT_number 204
_space_group_name_Hall '-I 2 2 3'
_cell_length_a 11.569
_cell_length_b 11.569
_cell_length_c 11.569
_cell_angle_alpha 90.00
_cell_angle_beta 90.00
_cell_angle_gamma 90.00
loop_
_atom_site_label
_atom_site_type_symbol
_atom_site_fract_x
_atom_site_fract_y
_atom_site_fract_z
_atom_site_occupancy
Tb1 Tb 0.000 0.257 0.258 1
Pm1 Pm 0.000 0.000 0.000 1
Th1 Th 0.000 0.000 0.500 1
Th2 Th 0.250 0.250 0.250 1
# Formation energy ... 928 meV/atom
# Calculated total energy ... -4.685 eV per atom
# Total moment ... 0.00 μB/f.u.

---

Entry 3:
# Tl2SbS | Alexandria | GGA-PBE | optimized geometry
data_Tl2SbS
_chemical_formula_sum 'Tl8 Sb4 S4'
_space_group_name_H-M_alt 'I -4 2 d'
_space_group_IT_number 122
_space_group_name_Hall 'I -4 2bw'
_cell_length_a 6.581
_cell_length_b 6.581
_cell_length_c 13.543
_cell_angle_alpha 90.00
_cell_angle_beta 90.00
_cell_angle_gamma 90.00
loop_
_atom_site_label
_atom_site_type_symbol
_atom_site_fract_x
_atom_site_fract_y
_atom_site_fract_z
_atom_site_occupancy
Tl1 Tl 0.229 0.250 0.125 1
Sb1 Sb 0.000 0.000 0.500 1
S1 S 0.000 0.000 0.000 1
# Calculated total energy ... -3.206 eV per atom
# Total moment ... 0.00 μB/f.u.
# Formation energy (no corrections) ... 39 meV per atom